<w>
A plane-wave DFT calculation with meta-GGA SCAN was carried out for a PBEsol-optimized structure of BaLiRh2.

The magnetic moment comes out at 0.0 μB per formula unit. The value obtained for the density of states at the Fermi level is 0.78 states/eV per atom.

It has space group Fm-3m (No. 225), with a = 6.6554 Å, b = 6.6554 Å, c = 6.6554 Å, α = 90.00°, β = 90.00° and γ = 90.00°. The asymmetric unit holds Ba at (0.0000, 0.0000, 0.0000), Li at (0.0000, 0.0000, 0.5000) and Rh at (0.2500, 0.2500, 0.2500).

<x>
A plane-wave DFT calculation with meta-GGA SCAN was carried out for a PBEsol-optimized structure of BaLiRh2.

The magnetic moment comes out at 0.6 μB per formula unit. The value obtained for the density of states at the Fermi level is 1.09 states/eV per atom.

It has space group F-43m (No. 216), with a = 6.6850 Å, b = 6.6850 Å, c = 6.6850 Å, α = 90.00°, β = 90.00° and γ = 90.00°. The asymmetric unit holds Ba at (0.0000, 0.0000, 0.0000), Li at (0.2500, 0.2500, 0.7500), Rh at (0.0000, 0.0000, 0.5000) and Rh at (0.2500, 0.2500, 0.2500).

Result of the stability comparison: <x> is the most stable of them.

<w>
A plane-wave DFT calculation with meta-GGA SCAN was carried out for a PBEsol-optimized structure of BaLiRh2.

The magnetic moment comes out at 0.0 μB per formula unit. The value obtained for the density of states at the Fermi level is 0.93 states/eV per atom.

It has space group R3m (No. 160, hexagonal axes), with a = 3.0537 Å, b = 3.0537 Å, c = 29.3447 Å, α = 90.00°, β = 90.00° and γ = 120.00°. The asymmetric unit holds Ba at (0.0000, 0.0000, 0.0000), Li at (0.0000, 0.0000, 0.2210), Rh at (0.0000, 0.0000, 0.4882) and Rh at (0.0000, 0.0000, 0.7569).

<x>
A plane-wave DFT calculation with meta-GGA SCAN was carried out for a PBEsol-optimized structure of BaLiRh2.

The magnetic moment comes out at 1.1 μB per formula unit. The value obtained for the density of states at the Fermi level is 0.48 states/eV per atom.

It has space group R3m (No. 160, hexagonal axes), with a = 4.3409 Å, b = 4.3409 Å, c = 16.2499 Å, α = 90.00°, β = 90.00° and γ = 120.00°. The asymmetric unit holds Ba at (0.0000, 0.0000, 0.0000), Li at (0.0000, 0.0000, 0.8103), Rh at (0.0000, 0.0000, 0.1952) and Rh at (0.0000, 0.0000, 0.5240).

<y>
A plane-wave DFT calculation with meta-GGA SCAN was carried out for a PBEsol-optimized structure of BaLiRh2.

The magnetic moment comes out at 0.0 μB per formula unit. The value obtained for the density of states at the Fermi level is 0.44 states/eV per atom.

It has space group P2/m (No. 10), with a = 3.0529 Å, b = 4.3574 Å, c = 5.8191 Å, α = 90.00°, β = 102.13° and γ = 90.00°. The asymmetric unit holds Ba at (0.0000, 0.0000, 0.0000), Li at (0.5000, 0.0000, 0.5000) and Rh at (0.3189, 0.5000, 0.6828).

Result of the stability comparison: <x> is the most stable of them.

<w>
A plane-wave DFT calculation with meta-GGA SCAN was carried out for a PBEsol-optimized structure of Ba2LiRu.

The magnetic moment comes out at 0.0 μB per formula unit. The value obtained for the density of states at the Fermi level is 1.05 states/eV per atom.

It has space group P4/mmm (No. 123), with a = 5.4014 Å, b = 5.4014 Å, c = 3.8575 Å, α = 90.00°, β = 90.00° and γ = 90.00°. The asymmetric unit holds Ba at (0.0000, 0.5000, 0.0000), Li at (0.0000, 0.0000, 0.5000) and Ru at (0.5000, 0.5000, 0.5000).

<x>
A plane-wave DFT calculation with meta-GGA SCAN was carried out for a PBEsol-optimized structure of Ba2LiRu.

The magnetic moment comes out at 0.0 μB per formula unit. The value obtained for the density of states at the Fermi level is 0.56 states/eV per atom.

It has space group I-4m2 (No. 119), with a = 4.8188 Å, b = 4.8188 Å, c = 9.0934 Å, α = 90.00°, β = 90.00° and γ = 90.00°. The asymmetric unit holds Ba at (0.0000, 0.0000, 0.0000), Ba at (0.0000, 0.5000, 0.2500), Li at (0.0000, 0.0000, 0.5000) and Ru at (0.0000, 0.5000, 0.7500).

<y>
A plane-wave DFT calculation with meta-GGA SCAN was carried out for a PBEsol-optimized structure of Ba2LiRu.

The magnetic moment comes out at 0.1 μB per formula unit. The value obtained for the density of states at the Fermi level is 0.74 states/eV per atom.

It has space group Imm2 (No. 44), with a = 3.6135 Å, b = 5.4914 Å, c = 12.1803 Å, α = 90.00°, β = 90.00° and γ = 90.00°. The asymmetric unit holds Ba at (0.0000, 0.0000, 0.0000), Ba at (0.0000, 0.5000, 0.1956), Li at (0.0000, 0.0000, 0.3514) and Ru at (0.0000, 0.5000, 0.6890).

Result of the stability comparison: <y> is the most stable of them.

<w>
A plane-wave DFT calculation with meta-GGA SCAN was carried out for a PBEsol-optimized structure of BaLiRu2.

The magnetic moment comes out at 0.0 μB per formula unit. The value obtained for the density of states at the Fermi level is 0.80 states/eV per atom.

It has space group Pm (No. 6), with a = 2.9427 Å, b = 3.6033 Å, c = 7.7502 Å, α = 90.00°, β = 90.14° and γ = 90.00°. The asymmetric unit holds Ba at (0.0000, 0.0000, 0.0000), Li at (0.4959, 0.5000, 0.3622), Ru at (0.4980, 0.5000, 0.6913) and Ru at (0.9972, 0.0000, 0.5678).

<x>
A plane-wave DFT calculation with meta-GGA SCAN was carried out for a PBEsol-optimized structure of BaLiRu2.

The magnetic moment comes out at 0.0 μB per formula unit. The value obtained for the density of states at the Fermi level is 0.66 states/eV per atom.

It has space group P2/m (No. 10), with a = 4.1224 Å, b = 4.5623 Å, c = 4.6196 Å, α = 90.00°, β = 104.65° and γ = 90.00°. The asymmetric unit holds Ba at (0.0000, 0.0000, 0.0000), Li at (0.5000, 0.0000, 0.5000) and Ru at (0.2887, 0.5000, 0.6235).

Result of the stability comparison: <w> is the most stable of them.

<w>
A plane-wave DFT calculation with meta-GGA SCAN was carried out for a PBEsol-optimized structure of BaSrLi2.

The magnetic moment comes out at 0.2 μB per formula unit. The value obtained for the density of states at the Fermi level is 0.78 states/eV per atom.

It has space group R3m (No. 160, hexagonal axes), with a = 4.7720 Å, b = 4.7720 Å, c = 25.1379 Å, α = 90.00°, β = 90.00° and γ = 120.00°. The asymmetric unit holds Ba at (0.0000, 0.0000, 0.0000), Sr at (0.0000, 0.0000, 0.1930), Li at (0.0000, 0.0000, 0.4346) and Li at (0.0000, 0.0000, 0.7676).

<x>
A plane-wave DFT calculation with meta-GGA SCAN was carried out for a PBEsol-optimized structure of BaSrLi2.

The magnetic moment comes out at 0.1 μB per formula unit. The value obtained for the density of states at the Fermi level is 0.81 states/eV per atom.

It has space group Amm2 (No. 38), with a = 5.1858 Å, b = 4.6943 Å, c = 13.1758 Å, α = 90.00°, β = 90.00° and γ = 90.00°. The asymmetric unit holds Ba at (0.0000, 0.0000, 0.0000), Sr at (0.5000, 0.0000, 0.7065), Li at (0.0000, 0.0000, 0.2845) and Li at (0.5000, 0.0000, 0.4120).

<y>
A plane-wave DFT calculation with meta-GGA SCAN was carried out for a PBEsol-optimized structure of BaSrLi2.

The magnetic moment comes out at 0.2 μB per formula unit. The value obtained for the density of states at the Fermi level is 0.80 states/eV per atom.

It has space group Imm2 (No. 44), with a = 4.0711 Å, b = 6.0568 Å, c = 12.2928 Å, α = 90.00°, β = 90.00° and γ = 90.00°. The asymmetric unit holds Ba at (0.0000, 0.0000, 0.0000), Sr at (0.0000, 0.5000, 0.2053), Li at (0.0000, 0.0000, 0.4421) and Li at (0.0000, 0.5000, 0.7641).

<z>
A plane-wave DFT calculation with meta-GGA SCAN was carried out for a PBEsol-optimized structure of BaSrLi2.

The magnetic moment comes out at 0.2 μB per formula unit. The value obtained for the density of states at the Fermi level is 1.02 states/eV per atom.

It has space group P4mm (No. 99), with a = 4.0507 Å, b = 4.0507 Å, c = 9.2085 Å, α = 90.00°, β = 90.00° and γ = 90.00°. The asymmetric unit holds Ba at (0.0000, 0.0000, 0.0000), Sr at (0.5000, 0.5000, 0.6442), Li at (0.0000, 0.0000, 0.3929) and Li at (0.5000, 0.5000, 0.2655).

Result of the stability comparison: <x> is the most stable of them.

<w>
A plane-wave DFT calculation with meta-GGA SCAN was carried out for a PBEsol-optimized structure of BaSrLi2.

The magnetic moment comes out at 0.1 μB per formula unit. The value obtained for the density of states at the Fermi level is 1.03 states/eV per atom.

It has space group P4/mmm (No. 123), with a = 6.0617 Å, b = 6.0617 Å, c = 4.2015 Å, α = 90.00°, β = 90.00° and γ = 90.00°. The asymmetric unit holds Ba at (0.0000, 0.0000, 0.0000), Sr at (0.5000, 0.5000, 0.0000) and Li at (0.0000, 0.5000, 0.5000).

<x>
A plane-wave DFT calculation with meta-GGA SCAN was carried out for a PBEsol-optimized structure of BaSrLi2.

The magnetic moment comes out at 0.1 μB per formula unit. The value obtained for the density of states at the Fermi level is 1.08 states/eV per atom.

It has space group Fm-3m (No. 225), with a = 8.5162 Å, b = 8.5162 Å, c = 8.5162 Å, α = 90.00°, β = 90.00° and γ = 90.00°. The asymmetric unit holds Ba at (0.0000, 0.0000, 0.0000), Sr at (0.0000, 0.0000, 0.5000) and Li at (0.2500, 0.2500, 0.2500).

<y>
A plane-wave DFT calculation with meta-GGA SCAN was carried out for a PBEsol-optimized structure of BaSrLi2.

The magnetic moment comes out at 0.1 μB per formula unit. The value obtained for the density of states at the Fermi level is 0.86 states/eV per atom.

It has space group P2/m (No. 10), with a = 6.1771 Å, b = 4.0209 Å, c = 7.0511 Å, α = 90.00°, β = 112.57° and γ = 90.00°. The asymmetric unit holds Ba at (0.0000, 0.0000, 0.0000), Sr at (0.0000, 0.5000, 0.5000), Li at (0.5000, 0.0000, 0.5000) and Li at (0.5000, 0.5000, 0.0000).

Result of the stability comparison: <w> is the most stable of them.